# 1
Density functional theory data (GGA-PBE) for SrHgC after structural relaxation.

It has space group C2/m (No. 12), with a = 8.000 Å, b = 4.136 Å, c = 9.699 Å, α = 90.00°, β = 105.24° and γ = 90.00°. The asymmetric unit holds Sr at (0.082, 0.000, 0.327), Hg at (0.185, 0.500, 0.083) and C at (0.079, 0.500, 0.536).

As for the total magnetization: 0.00 μB/f.u. The calculation puts the density of states at the Fermi level at 5.4 states/eV per cell. The value obtained for the final energy is -3.89 eV/atom.

=====

# 2
Density functional theory data (GGA-PBE) for NaBeBiPd2 after structural relaxation.

It has space group P4/mmm (No. 123), with a = 5.135 Å, b = 5.135 Å, c = 5.563 Å, α = 90.00°, β = 90.00° and γ = 90.00°. The asymmetric unit holds Na at (0.000, 0.000, 0.000), Be at (0.500, 0.500, 0.000), Bi at (0.000, 0.000, 0.500) and Pd at (0.000, 0.500, 0.500).

As for the total magnetization: 0.00 μB/f.u. The calculation puts the density of states at the Fermi level at 4.2 states/eV per cell. The value obtained for the final energy is -2.88 eV/atom.

=====

# 3
Density functional theory data (GGA-PBE) for TlAsAu2 after structural relaxation.

It has space group I4/mmm (No. 139), with a = 4.560 Å, b = 4.560 Å, c = 8.014 Å, α = 90.00°, β = 90.00° and γ = 90.00°. The asymmetric unit holds Tl at (0.000, 0.000, 0.000), As at (0.000, 0.000, 0.500) and Au at (0.000, 0.500, 0.250).

As for the total magnetization: 0.00 μB/f.u. The calculation puts the density of states at the Fermi level at 4.0 states/eV per cell. The value obtained for the final energy is -3.16 eV/atom.

=====

# 4
Density functional theory data (GGA-PBE) for La2CoHBr after structural relaxation.

It has space group P4/mmm (No. 123), with a = 4.799 Å, b = 4.799 Å, c = 4.716 Å, α = 90.00°, β = 90.00° and γ = 90.00°. The asymmetric unit holds La at (0.000, 0.500, 0.000), Co at (0.000, 0.000, 0.500), H at (0.500, 0.500, 0.000) and Br at (0.500, 0.500, 0.500).

As for the total magnetization: 1.18 μB/f.u. The calculation puts the density of states at the Fermi level at 5.3 states/eV per cell. The value obtained for the final energy is -4.48 eV/atom.

=====

# 5
Density functional theory data (GGA-PBE) for Sm2EuTm after structural relaxation.

It has space group R-3m (No. 166, hexagonal axes), with a = 3.5648 Å, b = 3.5648 Å, c = 37.9082 Å, α = 90.00°, β = 90.00° and γ = 120.00°. The asymmetric unit holds Sm at (0.0000, 0.0000, 0.0917), Eu at (0.0000, 0.0000, 0.0000) and Tm at (0.0000, 0.0000, 0.5000).

As for the total magnetization: 7.94 μB/f.u. The calculation puts the density of states at the Fermi level at 17.5 states/eV per cell. The value obtained for the final energy is -5.90 eV/atom.

=====

# 6
Density functional theory data (GGA-PBE) for KMn2Tl after structural relaxation.

It has space group Immm (No. 71), with a = 3.229 Å, b = 5.649 Å, c = 11.077 Å, α = 90.00°, β = 90.00° and γ = 90.00°. The asymmetric unit holds K at (0.000, 0.000, 0.000), Mn at (0.000, 0.500, 0.218) and Tl at (0.000, 0.000, 0.500).

As for the total magnetization: 8.22 μB/f.u. The calculation puts the density of states at the Fermi level at 7.1 states/eV per cell. The value obtained for the final energy is -4.63 eV/atom.

=====

# 7
Density functional theory data (GGA-PBE) for Tm5ThTl6 after structural relaxation.

It has space group P2/m (No. 10), with a = 5.380 Å, b = 7.462 Å, c = 8.501 Å, α = 90.00°, β = 107.74° and γ = 90.00°. The asymmetric unit holds Tm at (0.000, 0.000, 0.000), Tm at (0.335, 0.500, 0.671), Tm at (0.336, 0.000, 0.673), Th at (0.000, 0.500, 0.000), Tl at (0.172, 0.245, 0.343) and Tl at (0.500, 0.239, 0.000).

As for the total magnetization: 0.00 μB/f.u. The calculation puts the density of states at the Fermi level at 8.9 states/eV per cell. The value obtained for the final energy is -3.91 eV/atom.

=====

# 8
Density functional theory data (GGA-PBE) for MgRhCl2 after structural relaxation.

It has space group Fm-3m (No. 225), with a = 6.518 Å, b = 6.518 Å, c = 6.518 Å, α = 90.00°, β = 90.00° and γ = 90.00°. The asymmetric unit holds Mg at (0.000, 0.000, 0.000), Rh at (0.000, 0.000, 0.500) and Cl at (0.250, 0.250, 0.250).

As for the total magnetization: 1.04 μB/f.u. The calculation puts the density of states at the Fermi level at 14.2 states/eV per cell. The value obtained for the final energy is -3.40 eV/atom.